Record 1
# GGA-PBE InAg2C, optimized geometry
# E, eV per cell: -49.40
# E_form, kJ/mol of atoms: 128.2
data_InAg2C
_symmetry_space_group_name_H-M 'F m -3 m'
_symmetry_Int_Tables_number 225
_symmetry_space_group_name_Hall '-F 4 2 3'
_cell_length_a 6.486
_cell_length_b 6.486
_cell_length_c 6.486
_cell_angle_alpha 90.00
_cell_angle_beta 90.00
_cell_angle_gamma 90.00
loop_
_atom_site_label
_atom_site_fract_x
_atom_site_fract_y
_atom_site_fract_z
In1 0.000 0.000 0.000
Ag1 0.250 0.250 0.250
C1 0.000 0.000 0.500



Record 2
# GGA-PBE In3Ir, optimized geometry
# E, eV per cell: -66.14
# E_form, kJ/mol of atoms: 13.0
data_In3Ir
_symmetry_space_group_name_H-M 'I 4/m m m'
_symmetry_Int_Tables_number 139
_symmetry_space_group_name_Hall '-I 4 2'
_cell_length_a 4.197
_cell_length_b 4.197
_cell_length_c 19.814
_cell_angle_alpha 90.00
_cell_angle_beta 90.00
_cell_angle_gamma 90.00
loop_
_atom_site_label
_atom_site_fract_x
_atom_site_fract_y
_atom_site_fract_z
In1 0.000 0.000 0.124
In2 0.000 0.500 0.000
In3 0.000 0.500 0.250
Ir1 0.000 0.000 0.343



Record 3
# GGA-PBE SrAcH8Pd2, optimized geometry
# E, eV per cell: -136.83
data_SrAcH8Pd2
_symmetry_space_group_name_H-M 'R -3 m'
_symmetry_Int_Tables_number 166
_symmetry_space_group_name_Hall '-R 3 2"'
_cell_length_a 4.9653
_cell_length_b 4.9653
_cell_length_c 19.9334
_cell_angle_alpha 90.00
_cell_angle_beta 90.00
_cell_angle_gamma 120.00
loop_
_atom_site_label
_atom_site_fract_x
_atom_site_fract_y
_atom_site_fract_z
Sr1 0.0000 0.0000 0.0000
Ac1 0.0000 0.0000 0.5000
H1 0.0000 0.0000 0.1481
H2 0.0143 0.5071 0.0538
Pd1 0.0000 0.0000 0.2363



Question: Among the records above, which one has the highest E?
Answer: InAg2C



Question: E of number 2 (In3Ir)?
Answer: -66.14 eV per cell



Question: E of number 1 (InAg2C)?
Answer: -49.40 eV per cell